(1)
{"formula": "NdPdS2O8", "functional": "PBE", "state": "relaxed", "dos_ef_per_ev_cell": 6.5, "lattice_angstrom": [[5.2183, 0.0000, 0.0000], [-2.6091, 4.5192, 0.0000], [0.0000, 0.0000, 7.5423]], "species": ["Nd", "Pd", "S", "S", "O", "O", "O", "O", "O", "O", "O", "O"], "frac_coords": [[0.0000, 0.0000, 0.0000], [0.0000, 0.0000, 0.5000], [0.3333, 0.6667, 0.1929], [0.6667, 0.3333, 0.8071], [0.1767, 0.3534, 0.2540], [0.1767, 0.8233, 0.2540], [0.3333, 0.6667, 0.9936], [0.3534, 0.1767, 0.7460], [0.6466, 0.8233, 0.2540], [0.6667, 0.3333, 0.0064], [0.8233, 0.1767, 0.7460], [0.8233, 0.6466, 0.7460]]}

(2)
{"formula": "Nd2ScPdO6", "functional": "PBE", "state": "relaxed", "dos_ef_per_ev_cell": 1.4, "lattice_angstrom": [[5.0751, -2.7987, 0.0000], [5.0751, 2.7987, 0.0000], [-3.0179, 0.0000, 4.7359]], "species": ["Nd", "Nd", "Sc", "Pd", "O", "O", "O", "O", "O", "O"], "frac_coords": [[0.2468, 0.2468, 0.2221], [0.7532, 0.7532, 0.7779], [0.9828, 0.0172, 0.5000], [0.4841, 0.5159, 0.0000], [0.1687, 0.6908, 0.1836], [0.1738, 0.2917, 0.6160], [0.3092, 0.8313, 0.8164], [0.6627, 0.1941, 0.1686], [0.7083, 0.8262, 0.3840], [0.8059, 0.3373, 0.8314]]}

(3)
{"formula": "NdPdSe2O6", "functional": "PBE", "state": "relaxed", "dos_ef_per_ev_cell": 6.0, "lattice_angstrom": [[2.6717, 1.5425, 6.3189], [-2.6717, 1.5425, 6.3189], [0.0000, -3.0850, 6.3189]], "species": ["Nd", "Pd", "Se", "Se", "O", "O", "O", "O", "O", "O"], "frac_coords": [[0.0000, 0.0000, 0.0000], [0.5000, 0.5000, 0.5000], [0.2168, 0.2168, 0.2168], [0.7832, 0.7832, 0.7832], [0.0390, 0.4524, 0.7391], [0.2609, 0.9610, 0.5476], [0.4524, 0.7391, 0.0390], [0.5476, 0.2609, 0.9610], [0.7391, 0.0390, 0.4524], [0.9610, 0.5476, 0.2609]]}

Number 1: uncorrected formation energy -1575 meV per atom, electronic total energy -6.3988 eV per atom. Number 2: uncorrected formation energy -2610 meV per atom, electronic total energy -7.6905 eV per atom. Number 3: uncorrected formation energy -1252 meV per atom, electronic total energy -5.9203 eV per atom.